No. 1
! SCAN In2NiIr, PBEsol geometry; values from VASP
&SYSTEM
  ibrav = 0, nat = 8, ntyp = 3
/
ATOMIC_SPECIES
In 114.82 In.upf
Ni 58.69 Ni.upf
Ir 192.22 Ir.upf
CELL_PARAMETERS angstrom
4.220 0.000 0.000
0.000 4.220 0.000
0.000 0.000 7.144
ATOMIC_POSITIONS angstrom
In 0.000 2.110 1.786
In 0.000 2.110 5.358
In 2.110 0.000 1.786
In 2.110 0.000 5.358
Ni 0.000 0.000 0.000
Ni 2.110 2.110 3.572
Ir 0.000 0.000 3.572
Ir 2.110 2.110 0.000
! - Fermi-level density of states: 3.31 states/eV/cell
! - Magnetic moment: 0.000 μB per cell
! - ρ: 12.5 g/cm³
! - Total DFT energy (no corrections): -38.580 eV per atom
! - Energy relative to the elements: -69 meV/atom

=====

No. 2
! SCAN InNi2Ir, PBEsol geometry; values from VASP
&SYSTEM
  ibrav = 0, nat = 12, ntyp = 3
/
ATOMIC_SPECIES
In 114.82 In.upf
Ni 58.69 Ni.upf
Ir 192.22 Ir.upf
CELL_PARAMETERS angstrom
2.796 0.000 0.000
-1.398 2.421 0.000
0.000 0.000 24.464
ATOMIC_POSITIONS angstrom
In 0.000 0.000 0.000
In 0.000 1.614 16.310
In 1.398 0.807 8.155
Ni 0.000 0.000 6.075
Ni 0.000 0.000 12.413
Ni 0.000 1.614 4.258
Ni 0.000 1.614 22.384
Ni 1.398 0.807 14.230
Ni 1.398 0.807 20.568
Ir 0.000 0.000 18.626
Ir 0.000 1.614 10.471
Ir 1.398 0.807 2.317
! - Fermi-level density of states: 11.87 states/eV/cell
! - Magnetic moment: 3.702 μB per cell
! - ρ: 12.8 g/cm³
! - Total DFT energy (no corrections): -33.924 eV per atom
! - Energy relative to the elements: 284 meV/atom

=====

No. 3
! SCAN InNiIr2, PBEsol geometry; values from VASP
&SYSTEM
  ibrav = 0, nat = 8, ntyp = 3
/
ATOMIC_SPECIES
In 114.82 In.upf
Ni 58.69 Ni.upf
Ir 192.22 Ir.upf
CELL_PARAMETERS angstrom
2.871 0.000 0.000
0.000 4.502 0.000
0.000 0.000 8.975
ATOMIC_POSITIONS angstrom
In 0.000 0.000 0.000
In 1.436 2.251 4.487
Ni 0.000 2.251 2.299
Ni 1.436 0.000 6.786
Ir 0.000 0.000 4.709
Ir 0.000 2.251 6.900
Ir 1.436 0.000 2.413
Ir 1.436 2.251 0.221
! - Fermi-level density of states: 10.11 states/eV/cell
! - Magnetic moment: 0.006 μB per cell
! - ρ: 16.0 g/cm³
! - Total DFT energy (no corrections): -47.701 eV per atom
! - Energy relative to the elements: 239 meV/atom